# 1
4
Lattice="3.608 -3.608 0.000 3.608 3.608 0.000 -0.014 0.000 2.931" Properties=species:S:1:pos:R:3 comment="KInCu2 (GGA-PBEsol, optimized geometry)" vol_a3_per_atom=19.1 dos_ef_per_ev_cell=1.15 e_form_ev_per_atom=0.4700 pbc="T T T"
K 0.000 0.000 0.000
In 3.608 0.000 0.000
Cu 1.797 1.804 1.465
Cu 1.797 -1.804 1.465

# 2
5
Lattice="6.277 0.000 0.000 0.000 6.277 0.000 0.000 0.000 4.591" Properties=species:S:1:pos:R:3 comment="Cs2TaNiF (GGA-PBEsol, optimized geometry)" raw_formation_energy_ev_per_atom=0.50 vol_a3_per_atom=36.2 dos_ef_per_ev_cell=5.48 pbc="T T T"
Cs 0.000 3.138 0.000
Cs 3.138 0.000 0.000
Ta 0.000 0.000 2.296
Ni 0.000 0.000 0.000
F 3.138 3.138 2.296

# 3
70
Lattice="6.485 0.000 0.000 0.000 9.854 0.000 -4.963 0.000 11.798" Properties=species:S:1:pos:R:3 comment="K2Zr2NiH12O6F12 (GGA-PBEsol, optimized geometry)" vol_a3_per_atom=10.8 total_energy_ev_per_cell=-391.2 pbc="T T T"
K 0.398 2.214 0.981
K -2.083 2.714 6.880
K 3.605 7.141 4.918
K 1.124 7.641 10.817
Zr -2.205 0.125 10.071
Zr 0.276 4.802 4.172
Zr 1.246 5.053 7.626
Zr 3.727 9.729 1.727
Ni 0.761 0.000 5.899
Ni 3.242 4.927 0.000
H -1.342 0.573 4.497
H -3.824 4.355 10.396
H -0.304 1.787 4.417
H -2.786 3.140 10.316
H 1.150 5.644 1.280
H -1.331 9.137 7.179
H -2.154 6.813 9.940
H 0.327 7.969 4.041
H -1.346 5.578 9.285
H 1.135 9.203 3.386
H 2.192 6.857 1.295
H -0.289 7.925 7.194
H 1.812 1.929 4.604
H -0.670 2.998 10.503
H 0.388 0.651 8.412
H 2.869 4.276 2.513
H 1.195 1.886 7.757
H 3.676 3.041 1.858
H 2.853 0.717 4.619
H 0.372 4.210 10.518
H 4.308 6.714 1.482
H 1.827 8.067 7.381
H 5.346 5.500 1.402
H 2.865 9.282 7.301
O -0.709 1.121 5.041
O -3.190 3.806 10.940
O 1.755 6.186 0.702
O -0.727 8.595 6.601
O -1.500 6.084 10.127
O 0.982 8.698 4.228
O 0.541 1.156 7.570
O 3.022 3.771 1.671
O 2.249 1.259 5.197
O -0.232 3.668 11.096
O 4.713 6.048 0.858
O 2.231 8.733 6.757
F -4.018 0.667 10.626
F -1.536 4.260 4.727
F -2.439 0.234 7.998
F 0.042 4.694 2.099
F -0.520 6.607 3.665
F -3.002 8.175 9.564
F -1.797 2.104 9.564
F 0.685 2.824 3.665
F 1.797 0.286 2.165
F -0.685 4.641 8.064
F 0.633 6.091 5.832
F -1.848 8.690 11.731
F 3.371 1.164 0.067
F 0.889 3.763 5.966
F 2.207 5.213 3.734
F -0.274 9.568 9.633
F 0.838 7.031 8.133
F 3.319 7.751 2.234
F 4.524 1.680 2.234
F 2.043 3.248 8.133
F 1.480 5.161 9.699
F 3.961 9.621 3.800
F 3.059 5.595 7.071
F 5.540 9.187 1.172

# 4
4
Lattice="-1.987 1.987 3.772 1.987 -1.987 3.772 1.987 1.987 -3.772" Properties=species:S:1:pos:R:3 comment="Li2AsAu (GGA-PBEsol, optimized geometry)" vol_a3_per_atom=14.9 dos_ef_per_ev_cell=0.70 e_form_ev_per_atom=-0.5314 pbc="T T T"
Li 1.987 0.000 1.886
Li 0.000 1.987 1.886
As 0.000 0.000 0.000
Au 0.000 0.000 3.772

# 5
5
Lattice="4.650 0.000 0.000 0.000 4.650 0.000 0.000 0.000 5.107" Properties=species:S:1:pos:R:3 comment="InTcHgIr2 (GGA-PBEsol, optimized geometry)" vol_a3_per_atom=22.1 dos_ef_per_ev_cell=4.40 e_form_ev_per_atom=1.2944 pbc="T T T"
In 0.000 0.000 0.000
Tc 0.000 0.000 2.553
Hg 2.325 2.325 0.000
Ir 0.000 2.325 2.553
Ir 2.325 0.000 2.553

# 6
8
Lattice="4.465 0.000 0.000 0.000 4.465 0.000 0.000 0.000 4.465" Properties=species:S:1:pos:R:3 comment="AlGa3N4 (GGA-PBEsol, optimized geometry)" raw_formation_energy_ev_per_atom=-0.84 vol_a3_per_atom=11.1 dos_ef_per_ev_cell=0.00 pbc="T T T"
Al 0.000 0.000 0.000
Ga 0.000 2.232 2.232
Ga 2.232 0.000 2.232
Ga 2.232 2.232 0.000
N 1.094 1.094 1.094
N 1.094 3.371 3.371
N 3.371 1.094 3.371
N 3.371 3.371 1.094